VASP calculation (PBE) on a relaxed Sr2BeNbRe crystal.

Results
The calculation puts the energy of formation at 1.368 eV per atom. The density is 5.679 g cm⁻³.

```
5
Lattice="5.6034 0.0000 0.0000 0.0000 4.3150 0.0000 0.0000 0.0000 5.6034" Properties=species:S:1:pos:R:3 pbc="T T T"
Sr 0.0000 0.0000 2.8017
Re 0.0000 2.1575 0.0000
Be 0.0000 0.0000 0.0000
Sr 2.8017 0.0000 0.0000
Nb 2.8017 2.1575 2.8017
```

=====

VASP calculation (PBE) on a relaxed ThCuP2S8 crystal.

Results
The formation energy without anion corrections is -0.427 eV/atom. The density is 3.525 g cm⁻³.

```
12
Lattice="6.3159 0.0000 0.0000 -3.1579 5.4697 0.0000 0.0000 0.0000 8.3742" Properties=species:S:1:pos:R:3 pbc="T T T"
S 3.1579 3.7594 1.8261
Cu 0.0000 0.0000 0.0000
S 0.0000 1.7103 6.5481
S 3.1579 1.8232 4.5295
S 4.8347 0.8552 1.8261
P 3.1579 1.8232 2.5200
S 1.4812 0.8552 1.8261
S -1.6768 4.6145 6.5481
Th 0.0000 0.0000 4.1871
S 0.0000 3.6465 3.8447
S 1.6768 4.6145 6.5481
P 0.0000 3.6465 5.8542
```

=====

VASP calculation (PBE) on a relaxed K4NiPt crystal.

Results
The calculation puts the energy of formation at 0.875 eV per atom. The density is 3.590 g cm⁻³.

```
6
Lattice="0.0000 4.5605 4.5605 4.5605 0.0000 4.5605 4.5605 4.5605 0.0000" Properties=species:S:1:pos:R:3 pbc="T T T"
Pt 0.0000 0.0000 0.0000
Ni 6.8408 6.8408 6.8408
K 5.7097 3.4114 5.7097
K 3.4114 5.7097 5.7097
K 3.4114 3.4114 3.4114
K 5.7097 5.7097 3.4114
```

=====

VASP calculation (PBE) on a relaxed TlSb2Rh crystal.

Results
The formation energy without anion corrections is -0.188 eV/atom. The density is 8.675 g cm⁻³.

```
4
Lattice="1.3407 -1.2204 3.6967 1.4993 -3.8099 0.4342 7.5064 0.6463 -0.1482" Properties=species:S:1:pos:R:3 pbc="T T T"
Sb 6.8645 -0.5840 0.7972
Rh 1.4200 -2.5151 2.0654
Sb 3.4819 -3.8000 3.1855
Tl 3.7532 0.3232 -0.0741
```

=====

density of number 2 (ThCuP2S8)? 3.525 g cm⁻³

=====

Look up the density of the first one. 5.679 g cm⁻³